P) Here is AlPbAu2 after structural relaxation from Alexandria via LeMat-Bulk. Energies are from GGA-PBE.

The structure belongs to space group I-4m2 (No. 119); the cell edges are 4.277, 4.277 and 9.144 Å and the angles 90.00°, 90.00° and 90.00°. The asymmetric unit holds Al at (0.000, 0.000, 0.000), Pb at (0.000, 0.500, 0.250), Au at (0.000, 0.000, 0.500) and Au at (0.000, 0.500, 0.750).

The value obtained for the total magnetization is 0.00 Bohr magnetons per cell.

Q) Here is AlPbAu2 after structural relaxation from Alexandria via LeMat-Bulk. Energies are from GGA-PBE.

The structure belongs to space group I-42d (No. 122); the cell edges are 7.485, 7.485 and 6.504 Å and the angles 90.00°, 90.00° and 90.00°. The asymmetric unit holds Al at (0.000, 0.000, 0.000), Pb at (0.000, 0.000, 0.500) and Au at (0.200, 0.250, 0.125).

The value obtained for the total magnetization is 0.00 Bohr magnetons per cell.

R) Here is AlPbAu2 after structural relaxation from Alexandria via LeMat-Bulk. Energies are from GGA-PBE.

The structure belongs to space group Fm-3m (No. 225); the cell edges are 6.976, 6.976 and 6.976 Å and the angles 90.00°, 90.00° and 90.00°. The asymmetric unit holds Al at (0.000, 0.000, 0.000), Pb at (0.000, 0.000, 0.500) and Au at (0.250, 0.250, 0.250).

The value obtained for the total magnetization is 0.00 Bohr magnetons per cell.

How do the energies compare? Relative to the most stable structure, in eV/atom: P) 0.122; Q) 0.000; R) 0.110.

P) Here is AlPbAu2 after structural relaxation from Alexandria via LeMat-Bulk. Energies are from GGA-PBE.

The structure belongs to space group P2/m (No. 10); the cell edges are 3.289, 3.197 and 7.814 Å and the angles 90.00°, 90.45° and 90.00°. The asymmetric unit holds Al at (0.000, 0.000, 0.000), Pb at (0.000, 0.000, 0.500) and Au at (0.497, 0.500, 0.809).

The value obtained for the total magnetization is 0.00 Bohr magnetons per cell.

Q) Here is AlPbAu2 after structural relaxation from Alexandria via LeMat-Bulk. Energies are from GGA-PBE.

The structure belongs to space group R3m (No. 160, hexagonal axes); the cell edges are 3.5249, 3.5249 and 24.3728 Å and the angles 90.00°, 90.00° and 120.00°. The asymmetric unit holds Al at (0.0000, 0.0000, 0.0000), Pb at (0.0000, 0.0000, 0.8318), Au at (0.0000, 0.0000, 0.4009) and Au at (0.0000, 0.0000, 0.5989).

The value obtained for the total magnetization is 0.00 Bohr magnetons per cell.

How do the energies compare? Relative to the most stable structure, in eV/atom: P) 0.000; Q) 0.024.

P) Here is AlPbAu2 after structural relaxation from Alexandria via LeMat-Bulk. Energies are from GGA-PBE.

The structure belongs to space group Cm (No. 8); the cell edges are 8.705, 3.719 and 5.736 Å and the angles 90.00°, 103.93° and 90.00°. The asymmetric unit holds Al at (0.000, 0.000, 0.000), Pb at (0.286, 0.500, 0.408), Au at (0.041, 0.500, 0.692) and Au at (0.290, 0.000, 0.965).

The value obtained for the total magnetization is 0.00 Bohr magnetons per cell.

Q) Here is AlPbAu2 after structural relaxation from Alexandria via LeMat-Bulk. Energies are from GGA-PBE.

The structure belongs to space group C2/m (No. 12); the cell edges are 7.494, 4.307 and 6.040 Å and the angles 90.00°, 114.07° and 90.00°. The asymmetric unit holds Al at (0.000, 0.000, 0.000), Pb at (0.000, 0.500, 0.500) and Au at (0.218, 0.500, 0.155).

The value obtained for the total magnetization is 0.00 Bohr magnetons per cell.

R) Here is AlPbAu2 after structural relaxation from Alexandria via LeMat-Bulk. Energies are from GGA-PBE.

The structure belongs to space group Pm (No. 6); the cell edges are 3.397, 3.943 and 6.746 Å and the angles 90.00°, 90.05° and 90.00°. The asymmetric unit holds Al at (0.000, 0.000, 0.000), Pb at (0.999, 0.500, 0.465), Au at (0.499, 0.000, 0.706) and Au at (0.500, 0.500, 0.066).

The value obtained for the total magnetization is 0.00 Bohr magnetons per cell.

S) Here is AlPbAu2 after structural relaxation from Alexandria via LeMat-Bulk. Energies are from GGA-PBE.

The structure belongs to space group P2_1/m (No. 11); the cell edges are 5.732, 3.911 and 7.891 Å and the angles 90.00°, 105.87° and 90.00°. The asymmetric unit holds Al at (0.136, 0.250, 0.410), Pb at (0.280, 0.750, 0.082), Au at (0.134, 0.250, 0.747) and Au at (0.428, 0.750, 0.621).

The value obtained for the total magnetization is 0.00 Bohr magnetons per cell.

How do the energies compare? Relative to the most stable structure, in eV/atom: P) 0.098; Q) 0.034; R) 0.076; S) 0.000.